Record 1
12
Lattice="-1.258 4.724 0.183 -4.464 -4.097 9.692 10.273 2.793 -1.464" Properties=species:S:1:pos:R:3 comment="Ac3LaPb2 (GGA-PBE, relaxed)" ef_ev_per_atom=-0.35 space_group="C2/m, No. 12" relative_energy_mev_per_atom=67.8 pbc="T T T"
Pb 0.854 2.763 -0.054
Pb 3.697 0.657 8.465
Pb -0.876 2.121 4.635
Pb 5.427 1.299 3.776
Ac 2.035 0.337 5.314
Ac 0.848 2.449 8.029
Ac -1.718 -0.713 6.596
Ac 2.516 3.084 3.097
Ac 3.703 0.972 0.382
Ac 6.269 4.133 1.815
La 4.620 3.518 6.359
La -0.069 -0.098 2.051

---

Record 2
5
Lattice="-0.283 -3.651 -1.175 3.029 0.510 -2.315 5.364 -3.429 3.069" Properties=species:S:1:pos:R:3 comment="Zn2Cd2Pd (GGA-PBE, relaxed)" ef_ev_per_atom=0.17 space_group="I4/mmm, No. 139" relative_energy_mev_per_atom=224.0 pbc="T T T"
Pd 0.000 0.000 0.000
Cd 4.883 -2.245 -0.495
Cd 3.227 -4.326 0.075
Zn 6.020 -4.666 0.460
Zn 2.089 -1.905 -0.880

---

Record 3
4
Lattice="-3.419 2.981 0.760 -1.467 -2.577 3.508 2.700 2.365 2.867" Properties=species:S:1:pos:R:3 comment="TbZr2Tl (GGA-PBE, relaxed)" ef_ev_per_atom=-0.07 space_group="P4/mmm, No. 123" relative_energy_mev_per_atom=0.0 pbc="T T T"
Tb -1.093 1.385 3.568
Zr 1.350 1.183 1.434
Zr -0.734 -1.289 1.754
Tl -1.709 1.491 0.380

---

Record 4
5
Lattice="-2.059 -4.135 0.968 2.802 -2.225 -3.548 3.339 -0.911 3.209" Properties=species:S:1:pos:R:3 comment="ZrTlPS2 (GGA-PBE, relaxed)" space_group="P4/mmm, No. 123" relative_energy_mev_per_atom=645.0 pbc="T T T"
Tl 2.041 -3.636 0.314
Zr 1.401 -1.113 -1.774
P 0.000 0.000 0.000
S 1.670 -0.456 1.604
S -1.029 -2.068 0.484

---

Record 5
6
Lattice="0.000 3.824 3.824 3.824 0.000 3.824 3.824 3.824 0.000" Properties=species:S:1:pos:R:3 comment="ZrCuAg4 (GGA-PBE, relaxed)" ef_ev_per_atom=0.21 space_group="F-43m, No. 216" pbc="T T T"
Zr 0.000 0.000 0.000
Ag 4.777 4.777 2.870
Ag 2.870 2.870 2.870
Ag 4.777 2.870 4.777
Ag 2.870 4.777 4.777
Cu 5.735 5.735 5.735

---

Record 6
4
Lattice="2.966 -0.015 3.460 2.388 3.758 0.971 -0.908 2.361 3.790" Properties=species:S:1:pos:R:3 comment="TlMoRh2 (GGA-PBE, relaxed)" ef_ev_per_atom=0.29 space_group="Fm-3m, No. 225" relative_energy_mev_per_atom=299.6 pbc="T T T"
Mo 0.000 0.000 0.000
Tl 2.223 3.052 4.110
Rh 3.334 4.578 6.165
Rh 1.111 1.526 2.055

---

Record 7
6
Lattice="-4.485 4.306 -3.840 -6.171 -2.656 -2.875 3.938 1.147 6.048" Properties=species:S:1:pos:R:3 comment="NaSm2Se3 (GGA-PBE, relaxed)" dft_energy_ev_per_cell=-31.6 space_group="Immm, No. 71" pbc="T T T"
Se -3.795 3.271 -1.115
Se -2.924 -0.475 0.448
Se -0.274 2.726 1.104
Na 0.000 0.000 0.000
Sm -3.579 0.554 -2.256
Sm -7.076 1.096 -4.459

---

Record 8
12
Lattice="6.260 0.000 1.532 3.130 5.589 0.766 -0.752 0.000 12.124" Properties=species:S:1:pos:R:3 comment="AcLa5Sm6 (GGA-PBE, relaxed)" ef_ev_per_atom=0.01 space_group="C2/m, No. 12" pbc="T T T"
Ac 0.000 0.000 0.000
La 5.884 1.865 7.594
La 6.260 3.726 1.532
La 2.754 0.000 6.828
La 2.754 3.725 6.828
La 3.130 1.863 0.766
Sm 1.383 0.000 3.438
Sm 4.125 0.000 10.218
Sm 1.011 1.873 9.457
Sm 4.497 1.873 4.199
Sm 7.627 3.717 4.965
Sm 4.141 3.717 10.224

---

Record 9
4
Lattice="0.000 3.313 3.313 3.313 0.000 3.313 3.313 3.313 0.000" Properties=species:S:1:pos:R:3 comment="Hg2SN (GGA-PBE, relaxed)" space_group="Fm-3m, No. 225" relative_energy_mev_per_atom=609.6 pbc="T T T"
Hg 4.969 4.969 4.969
Hg 1.656 1.656 1.656
S 3.313 3.313 3.313
N 0.000 0.000 0.000

---

Record 10
8
Lattice="3.185 -4.615 0.000 3.185 4.615 0.000 0.000 0.000 4.366" Properties=species:S:1:pos:R:3 comment="As5Ru3 (GGA-PBE, relaxed)" ef_ev_per_atom=0.18 space_group="Cmmm, No. 65" pbc="T T T"
As 1.592 -2.307 0.000
As 1.748 0.000 2.183
As 4.622 0.000 2.183
As 1.592 2.307 0.000
As 0.000 0.000 0.000
Ru 3.185 2.066 2.183
Ru 3.185 0.000 0.000
Ru 3.185 -2.066 2.183

---

Record 11
5
Lattice="-2.640 3.055 2.907 -3.260 0.269 -3.243 -2.320 -3.916 2.008" Properties=species:S:1:pos:R:3 comment="NiSnRu2Se (GGA-PBE, relaxed)" dft_energy_ev_per_cell=-24.1 space_group="P4/mmm, No. 123" pbc="T T T"
Ni -1.630 0.134 -1.621
Ru -1.160 -1.958 1.004
Ru -1.320 1.527 1.454
Se -4.110 -0.297 0.836
Sn 0.000 0.000 0.000

---

Record 12
7
Lattice="-0.420 -1.381 3.956 6.136 1.483 -1.072 -4.622 6.827 1.893" Properties=species:S:1:pos:R:3 comment="Nd2Tm3Ga2 (GGA-PBE, relaxed)" ef_ev_per_atom=-0.31 space_group="C2/m, No. 12" pbc="T T T"
Tm -0.780 2.515 3.037
Tm 1.874 4.414 1.740
Tm -0.210 -0.691 1.978
Ga 0.104 5.201 4.068
Ga 0.990 1.728 0.708
Nd 3.070 1.194 2.984
Nd -1.976 5.735 1.792

---

Record 13
12
Lattice="-3.958 0.980 -1.291 -2.002 -6.908 7.977 2.086 9.753 1.009" Properties=species:S:1:pos:R:3 comment="Ho3TmBi2 (GGA-PBE, relaxed)" ef_ev_per_atom=-0.44 space_group="C2/m, No. 12" relative_energy_mev_per_atom=127.3 pbc="T T T"
Ho -2.450 -2.673 5.479
Ho -4.357 0.227 6.443
Ho -2.464 2.804 2.598
Ho -1.425 6.498 2.215
Ho -1.410 1.020 5.097
Ho 0.482 3.598 1.251
Bi -1.669 2.082 -0.385
Bi -2.205 1.742 8.080
Bi -3.499 -0.605 3.183
Bi -0.375 4.430 4.512
Tm -0.629 -0.266 1.726
Tm -3.245 4.091 5.969

---

Record 14
4
Lattice="-0.596 1.232 -2.841 -0.376 -2.977 -1.213 -7.716 -2.766 0.419" Properties=species:S:1:pos:R:3 comment="Mg2TlNi (GGA-PBE, relaxed)" ef_ev_per_atom=-0.08 space_group="P2/m, No. 10" pbc="T T T"
Tl -6.367 -3.691 -2.016
Ni -2.321 -0.820 -1.619
Mg -3.631 -2.877 -0.486
Mg -0.790 -2.972 -1.123

---

Record 15
12
Lattice="3.659 0.000 0.000 0.000 10.170 0.133 0.000 -3.259 6.164" Properties=species:S:1:pos:R:3 comment="BaYAgO3 (GGA-PBE, relaxed)" dft_energy_ev_per_cell=-80.2 space_group="P2_1/m, No. 11" pbc="T T T"
Ba 2.744 4.648 4.612
Ba 0.915 2.263 1.685
Y 2.744 0.871 5.016
Y 0.915 6.041 1.281
Ag 2.744 -1.009 1.965
Ag 0.915 7.921 4.331
O 2.744 4.440 1.224
O 0.915 6.016 3.498
O 2.744 0.895 2.799
O 0.915 2.472 5.073
O 0.915 -0.495 5.307
O 2.744 7.406 0.990

---

Record 16
10
Lattice="7.632 0.000 0.000 0.000 7.632 0.000 0.000 0.000 3.046" Properties=species:S:1:pos:R:3 comment="YGa2Pd2 (GGA-PBE, relaxed)" ef_ev_per_atom=-0.59 space_group="P4/mbm, No. 127" pbc="T T T"
Ga 2.905 6.721 0.000
Ga 4.727 0.911 0.000
Ga 6.721 4.727 0.000
Ga 0.911 2.905 0.000
Pd 1.384 5.200 1.523
Pd 5.200 6.248 1.523
Pd 6.248 2.432 1.523
Pd 2.432 1.384 1.523
Y 3.816 3.816 0.000
Y 0.000 0.000 0.000

---

Record 17
4
Lattice="-1.590 -5.460 0.154 2.978 -3.911 -2.862 3.152 -3.802 2.823" Properties=species:S:1:pos:R:3 comment="Ba2CaPt (GGA-PBE, relaxed)" ef_ev_per_atom=-0.08 space_group="F-43m, No. 216" relative_energy_mev_per_atom=454.1 pbc="T T T"
Ba 1.135 -3.293 0.029
Ba 0.000 0.000 0.000
Ca 2.271 -6.586 0.057
Pt 3.406 -9.879 0.086

---

Record 18
16
Lattice="-0.578 2.206 -2.407 -3.126 -4.864 -1.422 -8.971 4.051 5.867" Properties=species:S:1:pos:R:3 comment="SrZr2GaN4 (GGA-PBE, relaxed)" dft_energy_ev_per_cell=-128.2 space_group="Cmcm, No. 63" pbc="T T T"
N -3.068 1.525 -0.149
N -9.608 -0.133 2.186
N -5.306 -0.432 0.879
N -9.854 2.946 2.783
N 0.000 0.000 0.000
N -4.486 2.025 2.933
N -7.369 1.825 1.158
N -2.822 -1.554 -0.746
Zr -5.305 2.001 0.824
Zr -7.371 -0.608 1.213
Zr -11.157 1.101 3.689
Zr -1.519 0.292 -1.652
Sr -5.277 -0.907 -1.848
Sr -7.399 2.300 3.884
Ga -3.411 -0.274 0.569
Ga -9.265 1.666 1.468

---

Record 19
4
Lattice="5.678 0.000 0.000 2.839 4.917 0.000 2.839 1.639 4.636" Properties=species:S:1:pos:R:3 comment="CePrEr2 (GGA-PBE, relaxed)" ef_ev_per_atom=0.15 space_group="Fm-3m, No. 225" relative_energy_mev_per_atom=95.4 pbc="T T T"
Er 8.516 4.917 3.477
Er 2.839 1.639 1.159
Ce 0.000 0.000 0.000
Pr 5.678 3.278 2.318

---

Record 20
14
Lattice="-0.944 -3.688 7.527 3.107 -7.189 -3.133 7.785 2.422 2.163" Properties=species:S:1:pos:R:3 comment="BaIn3Bi3 (GGA-PBE, relaxed)" ef_ev_per_atom=-0.01 space_group="Pm-3n, No. 223" relative_energy_mev_per_atom=222.8 pbc="T T T"
In 3.657 0.289 2.963
In 0.305 -3.641 2.980
In 1.858 -7.236 1.414
In 7.392 -1.778 0.056
In 3.185 -1.555 6.727
In 3.500 -2.989 -1.026
Bi 6.223 -4.181 -1.268
Bi 5.367 -0.028 5.386
Bi 4.669 -0.586 0.298
Bi 0.846 -6.361 4.079
Bi 1.474 -1.239 4.304
Bi 1.318 -4.517 0.315
Ba 4.974 -4.228 3.278
Ba 0.000 0.000 0.000

---

Record 21
13
Lattice="-0.175 -5.311 2.632 7.926 -3.380 -0.206 2.155 1.017 8.282" Properties=species:S:1:pos:R:3 comment="Tb2Dy8Sc3 (GGA-PBE, relaxed)" ef_ev_per_atom=0.19 space_group="C2/m, No. 12" relative_energy_mev_per_atom=0.0 pbc="T T T"
Dy 4.901 -5.433 2.219
Dy 1.816 -3.083 6.758
Dy 4.019 -5.074 5.360
Dy 5.887 -2.599 5.348
Dy 1.215 -5.020 3.426
Dy 8.090 -4.591 3.951
Dy 8.691 -2.653 7.282
Dy 5.005 -2.241 8.489
Tb 3.163 -2.558 3.475
Tb 6.743 -5.116 7.233
Sc 3.695 -0.157 6.017
Sc -0.087 -2.655 1.316
Sc 6.386 -2.206 2.060

---

Record 22
5
Lattice="-1.369 4.872 2.051 -4.819 -1.702 0.827 1.452 -1.690 4.985" Properties=species:S:1:pos:R:3 comment="NaZr2AgSn (GGA-PBE, relaxed)" ef_ev_per_atom=0.80 space_group="P4/mmm, No. 123" pbc="T T T"
Zr -0.684 2.436 1.025
Zr 0.726 -0.845 2.493
Ag -2.410 -0.851 0.413
Sn 0.000 0.000 0.000
Na -2.368 0.740 3.931

---

Number 1: magnetization 0.0268 μB per atom, DOS at the Fermi energy 14.90 states/eV/cell. Number 2: magnetization 0.0000 μB per atom, DOS at the Fermi energy 1.68 states/eV/cell. Number 3: magnetization 0.0000 μB per atom, DOS at the Fermi energy 3.82 states/eV/cell. Number 4: magnetization 0.0000 μB per atom, DOS at the Fermi energy 4.90 states/eV/cell. Number 5: magnetization 0.0000 μB per atom, DOS at the Fermi energy 2.68 states/eV/cell. Number 6: magnetization 0.6293 μB per atom, DOS at the Fermi energy 5.71 states/eV/cell. Number 7: magnetization 0.0000 μB per atom, DOS at the Fermi energy 1.59 states/eV/cell. Number 8: magnetization 0.0000 μB per atom, DOS at the Fermi energy 17.09 states/eV/cell. Number 9: magnetization 0.4038 μB per atom, DOS at the Fermi energy 3.16 states/eV/cell. Number 10: magnetization 0.0000 μB per atom, DOS at the Fermi energy 4.93 states/eV/cell. Number 11: magnetization 0.7592 μB per atom, DOS at the Fermi energy 7.23 states/eV/cell. Number 12: magnetization 0.0540 μB per atom, DOS at the Fermi energy 9.28 states/eV/cell. Number 13: magnetization 0.0000 μB per atom, DOS at the Fermi energy 12.39 states/eV/cell. Number 14: magnetization 0.0000 μB per atom, DOS at the Fermi energy 2.04 states/eV/cell. Number 15: magnetization 0.0000 μB per atom, DOS at the Fermi energy 0.00 states/eV/cell. Number 16: magnetization 0.1068 μB per atom, DOS at the Fermi energy 6.62 states/eV/cell. Number 17: magnetization 0.0000 μB per atom, DOS at the Fermi energy 4.72 states/eV/cell. Number 18: magnetization 0.0000 μB per atom, DOS at the Fermi energy 1.98 states/eV/cell. Number 19: magnetization 0.1677 μB per atom, DOS at the Fermi energy 9.73 states/eV/cell. Number 20: magnetization 0.0000 μB per atom, DOS at the Fermi energy 9.82 states/eV/cell. Number 21: magnetization 0.0000 μB per atom, DOS at the Fermi energy 19.26 states/eV/cell. Number 22: magnetization 0.0000 μB per atom, DOS at the Fermi energy 7.98 states/eV/cell.